Compound: PmY2AlPd4
Source: the Alexandria database
Functional: PBE
Structure: optimized geometry

```
PmY2AlPd4
1.0
2.4237 1.3993 8.0905
-2.4237 1.3993 8.0905
0.0000 -2.7986 8.0905
Pm Y Al Pd
1 2 1 4
Direct
0.0000 0.0000 0.0000 Pm
0.2435 0.2435 0.2435 Y
0.7565 0.7565 0.7565 Y
0.5000 0.5000 0.5000 Al
0.1272 0.1272 0.1272 Pd
0.3917 0.3917 0.3917 Pd
0.6083 0.6083 0.6083 Pd
0.8728 0.8728 0.8728 Pd
```

## Properties
formation enthalpy at 0 K: -807 meV/atom